! CoRuO, relaxed, DFT PBE+U; values from VASP
&SYSTEM
  ibrav = 0, nat = 6, ntyp = 3
/
ATOMIC_SPECIES
Co 58.93 Co.upf
Ru 101.07 Ru.upf
O 16.00 O.upf
CELL_PARAMETERS angstrom
5.4025 -1.3719 0.0000
5.4025 1.3719 0.0000
-0.6136 0.0000 4.8113
ATOMIC_POSITIONS crystal
Co 0.0000 0.0000 0.0000
Co 0.7097 0.7097 0.2420
Ru 0.1955 0.1955 0.7312
Ru 0.5037 0.5037 0.4907
O 0.3202 0.3202 0.4569
O 0.8137 0.8137 0.9469
! Energy above the most stable polymorph in this dataset in meV/atom: 97
! VASP energy in eV per atom: -6.52
! SG: Cm (8)